Entry 1:
Density functional theory data (PBE) for a relaxed structure of ZrIn3Si.

E_form (uncorrected): 0.7141 eV per atom

Structure (POSCAR):
```
ZrIn3Si
1.0
5.1117 0.0000 0.0000
0.0000 5.1117 0.0000
0.0000 0.0000 5.1117
In Zr Si
3 1 1
direct
0.0000 0.0000 0.5000
0.0000 0.5000 0.0000
0.5000 0.0000 0.0000
0.5000 0.5000 0.5000
0.0000 0.0000 0.0000
```

---

Entry 2:
Density functional theory data (PBE) for a relaxed structure of ZrIn3Si.

E_form (uncorrected): 0.9753 eV per atom

Structure (POSCAR):
```
ZrIn3Si
1.0
5.5516 0.0000 0.0000
0.0000 5.5516 0.0000
0.0000 0.0000 5.5516
In Zr Si
3 1 1
direct
0.0000 0.5000 0.0000
0.0000 0.0000 0.5000
0.5000 0.0000 0.0000
0.0000 0.0000 0.0000
0.5000 0.5000 0.5000
```

---

Entry 3:
Density functional theory data (PBE) for a relaxed structure of Zr2In2Si.

E_form (uncorrected): -0.2931 eV per atom

Structure (POSCAR):
```
Zr2In2Si
1.0
-0.4920 -4.5694 -5.3001
6.4298 -2.3921 1.4654
-1.8271 -3.1458 2.8817
In Zr Si
4 4 2
direct
0.3489 0.1511 0.5000
0.8489 0.3489 0.5000
0.1511 0.6511 0.5000
0.6511 0.8489 0.5000
0.3388 0.8388 0.0000
0.1612 0.3388 0.0000
0.8388 0.6612 0.0000
0.6612 0.1612 0.0000
0.0000 0.0000 0.0000
0.5000 0.5000 0.0000
```

---

Entry 4:
Density functional theory data (PBE) for a relaxed structure of ZrIn2Si.

E_form (uncorrected): -0.1351 eV per atom

Structure (POSCAR):
```
ZrIn2Si
1.0
5.3399 -0.0148 -0.0347
3.9307 3.6145 -0.0347
1.5631 0.6070 4.3980
Zr In Si
1 2 1
direct
0.7761 0.7761 0.6714
0.2289 0.2289 0.2333
0.9998 0.9998 0.0030
0.4952 0.4952 0.5923
```

---

Entry 5:
Density functional theory data (PBE) for a relaxed structure of Zr3InSi.

E_form (uncorrected): -0.0797 eV per atom

Structure (POSCAR):
```
Zr3InSi
1.0
-3.0242 -3.3512 2.0334
2.9790 -0.2957 3.9433
-2.5477 3.6322 2.1971
Zr In Si
3 1 1
direct
0.5000 0.0000 0.0000
0.0000 0.5000 0.0000
0.0000 0.0000 0.5000
0.5000 0.5000 0.5000
0.0000 0.0000 0.0000
```

---

Entry 6:
Density functional theory data (PBE) for a relaxed structure of ZrInSi.

E_form (uncorrected): -0.1359 eV per atom

Structure (POSCAR):
```
ZrInSi
1.0
5.9526 -0.0133 0.0123
4.8184 3.1967 0.0253
1.1342 -0.2345 3.2014
Si Zr In
1 1 1
direct
0.6718 0.6718 0.3282
0.3166 0.3166 0.6834
0.0116 0.0116 0.9884
```

---

Entry 7:
Density functional theory data (PBE) for a relaxed structure of ZrIn2Si.

E_form (uncorrected): -0.0101 eV per atom

Structure (POSCAR):
```
ZrIn2Si
1.0
6.5322 0.1986 0.6311
-2.6374 4.7202 -0.2781
1.2574 0.8901 2.8283
In Zr Si
2 1 1
direct
0.5000 0.0000 0.5000
0.0000 0.0000 0.0000
0.5000 0.5000 0.0000
0.0000 0.5000 0.5000
```

---

Entry 8:
Density functional theory data (PBE) for a relaxed structure of ZrIn2Si.

E_form (uncorrected): -0.0029 eV per atom

Structure (POSCAR):
```
ZrIn2Si
1.0
5.2059 0.0000 0.0000
0.0000 3.0524 0.0171
0.0000 0.1189 5.3123
In Zr Si
2 1 1
direct
0.0000 0.3986 0.4992
0.0000 0.1014 0.0008
0.5000 0.7500 0.7500
0.5000 0.2500 0.2500
```

---

Entry 9:
Density functional theory data (PBE) for a relaxed structure of Zr2InSi2.

E_form (uncorrected): -0.4153 eV per atom

Structure (POSCAR):
```
Zr2InSi2
1.0
-3.1714 1.2054 -0.7709
0.6190 -0.5341 -3.3818
-4.3365 -7.3026 -1.4301
In Si Zr
1 2 2
direct
0.0000 0.0000 0.0000
0.7500 0.2500 0.5000
0.2500 0.7500 0.5000
0.6184 0.6184 0.7633
0.3816 0.3816 0.2367
```

---

Entry 10:
Density functional theory data (PBE) for a relaxed structure of ZrIn2Si.

E_form (uncorrected): -0.1708 eV per atom

Structure (POSCAR):
```
ZrIn2Si
1.0
-1.0600 -3.1491 4.6513
-3.7084 -4.0117 1.6819
1.6209 -3.7183 -0.3655
Zr Si In
1 1 2
direct
0.7500 0.7500 0.7500
0.2500 0.2500 0.2500
0.5002 0.5002 0.4998
0.9998 0.9998 0.0002
```

---

Entry 11:
Density functional theory data (PBE) for a relaxed structure of ZrInSi.

E_form (uncorrected): 0.0889 eV per atom

Structure (POSCAR):
```
ZrInSi
1.0
4.5300 0.0000 0.0000
2.2650 3.9231 0.0000
2.2650 1.3077 3.6987
In Si Zr
1 1 1
direct
0.5000 0.5000 0.5000
0.7500 0.7500 0.7500
0.0000 0.0000 0.0000
```

---

Entry 12:
Density functional theory data (PBE) for a relaxed structure of ZrIn2Si.

E_form (uncorrected): -0.0211 eV per atom

Structure (POSCAR):
```
ZrIn2Si
1.0
-1.8726 1.8238 -1.6521
-1.8985 -2.3916 -0.4883
-4.6811 2.1484 7.6777
In Si Zr
2 1 1
direct
0.0000 0.0000 0.9801
0.5000 0.5000 0.2697
0.0000 0.0000 0.5249
0.5000 0.5000 0.7253
```